(1)
First-principles (GGA-PBE) data for a relaxed In2NiPd2 crystal, as listed in Alexandria via LeMat-Bulk.

```
In2NiPd2
1.0
7.376 0.000 0.000
0.000 7.376 0.000
0.000 0.000 3.309
In Ni Pd
4 2 4
direct
0.157 0.343 0.000 In
0.343 0.843 0.000 In
0.657 0.157 0.000 In
0.843 0.657 0.000 In
0.000 0.000 0.000 Ni
0.500 0.500 0.000 Ni
0.143 0.643 0.500 Pd
0.357 0.143 0.500 Pd
0.643 0.857 0.500 Pd
0.857 0.357 0.500 Pd
```

The calculation puts the formation energy at -0.13 eV per atom. The calculation puts the distance to the lowest polymorph of the same formula at 0.052 eV per atom. As for the crystal system: tetragonal. As for the total energy: -4.455 eV per atom.

=====

(2)
First-principles (GGA-PBE) data for a relaxed In2Ni2Pd crystal, as listed in Alexandria via LeMat-Bulk.

```
In2Ni2Pd
1.0
4.794 0.000 0.000
0.000 4.794 0.000
0.000 0.000 7.653
In Ni Pd
4 4 2
direct
0.000 0.500 0.250 In
0.000 0.500 0.750 In
0.500 0.000 0.250 In
0.500 0.000 0.750 In
0.000 0.000 0.143 Ni
0.000 0.000 0.857 Ni
0.500 0.500 0.357 Ni
0.500 0.500 0.643 Ni
0.000 0.000 0.500 Pd
0.500 0.500 0.000 Pd
```

The calculation puts the formation energy at 0.11 eV per atom. The calculation puts the distance to the lowest polymorph of the same formula at 0.271 eV per atom. As for the crystal system: tetragonal. As for the total energy: -4.334 eV per atom.

=====

(3)
First-principles (GGA-PBE) data for a relaxed In2Ni2Pd crystal, as listed in Alexandria via LeMat-Bulk.

```
In2Ni2Pd
1.0
7.411 0.000 0.000
0.000 7.411 0.000
0.000 0.000 2.972
In Ni Pd
4 4 2
direct
0.165 0.335 0.000 In
0.335 0.835 0.000 In
0.665 0.165 0.000 In
0.835 0.665 0.000 In
0.131 0.631 0.500 Ni
0.369 0.131 0.500 Ni
0.631 0.869 0.500 Ni
0.869 0.369 0.500 Ni
0.000 0.000 0.000 Pd
0.500 0.500 0.000 Pd
```

The calculation puts the formation energy at -0.07 eV per atom. The calculation puts the distance to the lowest polymorph of the same formula at 0.085 eV per atom. As for the crystal system: tetragonal. As for the total energy: -4.520 eV per atom.

=====

(4)
First-principles (GGA-PBE) data for a relaxed InNiPd crystal, as listed in Alexandria via LeMat-Bulk.

```
InNiPd
1.0
3.273 0.000 0.000
0.000 3.273 0.000
0.000 0.000 8.733
In Ni Pd
2 2 2
direct
0.000 0.000 0.000 In
0.500 0.500 0.500 In
0.000 0.000 0.659 Ni
0.500 0.500 0.159 Ni
0.000 0.000 0.323 Pd
0.500 0.500 0.823 Pd
```

The calculation puts the formation energy at -0.21 eV per atom. As for the crystal system: tetragonal. As for the total energy: -4.780 eV per atom.

=====

(5)
First-principles (GGA-PBE) data for a relaxed In2Ni2Pd crystal, as listed in Alexandria via LeMat-Bulk.

```
In2Ni2Pd
1.0
7.225 0.000 0.000
0.000 7.225 0.000
0.000 0.000 3.046
In Ni Pd
4 4 2
direct
0.176 0.324 0.000 In
0.324 0.824 0.000 In
0.676 0.176 0.000 In
0.824 0.676 0.000 In
0.121 0.621 0.500 Ni
0.379 0.121 0.500 Ni
0.621 0.879 0.500 Ni
0.879 0.379 0.500 Ni
0.000 0.000 0.500 Pd
0.500 0.500 0.500 Pd
```

The calculation puts the formation energy at -0.16 eV per atom. The calculation puts the distance to the lowest polymorph of the same formula at 0.000 eV per atom. As for the crystal system: tetragonal. As for the total energy: -4.605 eV per atom.

=====

(6)
First-principles (GGA-PBE) data for a relaxed InNiPd14 crystal, as listed in Alexandria via LeMat-Bulk.

```
InNiPd14
1.0
9.166 0.000 0.000
0.000 2.808 4.818
0.000 -2.808 4.818
In Ni Pd
1 1 14
direct
0.000 0.000 0.000 In
0.000 0.499 0.499 Ni
0.000 0.001 0.502 Pd
0.000 0.502 0.001 Pd
0.246 0.333 0.827 Pd
0.246 0.827 0.333 Pd
0.247 0.332 0.332 Pd
0.252 0.831 0.831 Pd
0.500 0.162 0.162 Pd
0.500 0.163 0.661 Pd
0.500 0.661 0.163 Pd
0.500 0.662 0.662 Pd
0.748 0.831 0.831 Pd
0.753 0.332 0.332 Pd
0.754 0.333 0.827 Pd
0.754 0.827 0.333 Pd
```

The calculation puts the formation energy at -0.08 eV per atom. As for the crystal system: orthorhombic. As for the total energy: -5.152 eV per atom.

=====

(7)
First-principles (GGA-PBE) data for a relaxed InNiPdRh2 crystal, as listed in Alexandria via LeMat-Bulk.

```
InNiPdRh2
1.0
4.479 0.000 0.000
0.000 4.479 0.000
0.000 0.000 4.628
In Ni Pd Rh
1 1 1 2
direct
0.000 0.000 0.000 In
0.500 0.500 0.500 Ni
0.500 0.500 0.000 Pd
0.000 0.500 0.500 Rh
0.500 0.000 0.500 Rh
```

The calculation puts the formation energy at 0.63 eV per atom. As for the crystal system: tetragonal. As for the total energy: -5.048 eV per atom.

=====

(8)
First-principles (GGA-PBE) data for a relaxed InNiPdRh crystal, as listed in Alexandria via LeMat-Bulk.

```
InNiPdRh
1.0
6.252 0.000 0.000
0.000 6.252 0.000
0.000 0.000 6.252
In Ni Pd Rh
4 4 4 4
direct
0.000 0.000 0.000 In
0.000 0.500 0.500 In
0.500 0.000 0.500 In
0.500 0.500 0.000 In
0.000 0.000 0.500 Ni
0.000 0.500 0.000 Ni
0.500 0.000 0.000 Ni
0.500 0.500 0.500 Ni
0.250 0.250 0.250 Pd
0.250 0.750 0.750 Pd
0.750 0.250 0.750 Pd
0.750 0.750 0.250 Pd
0.250 0.250 0.750 Rh
0.250 0.750 0.250 Rh
0.750 0.250 0.250 Rh
0.750 0.750 0.750 Rh
```

The calculation puts the formation energy at -0.19 eV per atom. As for the crystal system: cubic. As for the total energy: -5.454 eV per atom.

=====

(9)
First-principles (GGA-PBE) data for a relaxed InNiPd2Ru crystal, as listed in Alexandria via LeMat-Bulk.

```
InNiPd2Ru
1.0
4.545 0.000 0.000
0.000 4.545 0.000
0.000 0.000 4.654
In Ni Pd Ru
1 1 2 1
direct
0.000 0.000 0.000 In
0.000 0.000 0.500 Ni
0.000 0.500 0.500 Pd
0.500 0.000 0.500 Pd
0.500 0.500 0.000 Ru
```

The calculation puts the formation energy at 0.98 eV per atom. As for the crystal system: tetragonal. As for the total energy: -4.652 eV per atom.

=====

(10)
First-principles (GGA-PBE) data for a relaxed InNi2PdRu crystal, as listed in Alexandria via LeMat-Bulk.

```
InNi2PdRu
1.0
4.564 0.000 0.000
0.000 4.564 0.000
0.000 0.000 4.711
In Ni Pd Ru
1 2 1 1
direct
0.000 0.000 0.000 In
0.000 0.500 0.500 Ni
0.500 0.000 0.500 Ni
0.500 0.500 0.500 Pd
0.500 0.500 0.000 Ru
```

The calculation puts the formation energy at 1.21 eV per atom. As for the crystal system: tetragonal. As for the total energy: -4.540 eV per atom.

=====

(11)
First-principles (GGA-PBE) data for a relaxed InNi2PdS crystal, as listed in Alexandria via LeMat-Bulk.

```
InNi2PdS
1.0
4.697 0.000 0.000
0.000 4.697 0.000
0.000 0.000 4.939
In Ni Pd S
1 2 1 1
direct
0.000 0.000 0.000 In
0.000 0.500 0.000 Ni
0.500 0.000 0.000 Ni
0.000 0.000 0.500 Pd
0.500 0.500 0.500 S
```

The formation energy (no corrections) comes out at 1.20 eV/atom. As for the crystal system: tetragonal. As for the total energy: -3.520 eV per atom.

=====

(12)
First-principles (GGA-PBE) data for a relaxed ScInNiPd crystal, as listed in Alexandria via LeMat-Bulk.

```
ScInNiPd
1.0
6.452 0.000 0.000
0.000 6.452 0.000
0.000 0.000 6.452
Sc In Ni Pd
4 4 4 4
direct
0.000 0.000 0.000 Sc
0.000 0.500 0.500 Sc
0.500 0.000 0.500 Sc
0.500 0.500 0.000 Sc
0.000 0.000 0.500 In
0.000 0.500 0.000 In
0.500 0.000 0.000 In
0.500 0.500 0.500 In
0.250 0.250 0.250 Ni
0.250 0.750 0.750 Ni
0.750 0.250 0.750 Ni
0.750 0.750 0.250 Ni
0.250 0.250 0.750 Pd
0.250 0.750 0.250 Pd
0.750 0.250 0.250 Pd
0.750 0.750 0.750 Pd
```

The calculation puts the formation energy at -0.61 eV per atom. As for the crystal system: cubic. As for the total energy: -5.624 eV per atom.